[1]
An optimized crystal structure of Fe7Hg, computed with PBE.

Unit cell a=5.2837 b=5.2837 c=5.2837 alpha=60.00 beta=60.00 gamma=60.00
Sites, in units of the cell vectors:
1 Fe 0.0000 0.0000 0.0000
2 Fe 0.0000 0.0000 0.5000
3 Fe 0.0000 0.5000 0.0000
4 Fe 0.0000 0.5000 0.5000
5 Fe 0.5000 0.0000 0.0000
6 Fe 0.5000 0.0000 0.5000
7 Fe 0.5000 0.5000 0.0000
8 Hg 0.5000 0.5000 0.5000

Results
Crystal system: cubic
Formation energy from the elements in eV per atom: 0.278
Energy in eV per atom: -7.16
Total magnetic moment in μB per formula unit: 17.97
Space-group type: Fm-3m


[2]
An optimized crystal structure of Fe2Hg3, computed with PBE.

Unit cell a=4.5463 b=4.5463 c=5.5262 alpha=90.00 beta=90.00 gamma=120.00
Sites, in units of the cell vectors:
1 Fe 0.3333 0.6667 0.4002
2 Fe 0.6667 0.3333 0.5998
3 Hg 0.0000 0.0000 0.5000
4 Hg 0.3333 0.6667 0.8814
5 Hg 0.6667 0.3333 0.1186

Results
Crystal system: trigonal
Formation energy from the elements in eV per atom: 0.415
Energy in eV per atom: -3.15
Total magnetic moment in μB per formula unit: 5.28
Space-group type: P-3m1


[3]
An optimized crystal structure of FeHg5, computed with PBE.

Unit cell a=3.2588 b=3.2588 c=14.7903 alpha=90.00 beta=90.00 gamma=120.00
Sites, in units of the cell vectors:
1 Fe 0.0000 0.0000 0.0000
2 Hg 0.0000 0.0000 0.3184
3 Hg 0.0000 0.0000 0.6816
4 Hg 0.6667 0.3333 0.1391
5 Hg 0.6667 0.3333 0.5000
6 Hg 0.6667 0.3333 0.8609

Results
Crystal system: hexagonal
Formation energy from the elements in eV per atom: 0.274
Energy in eV per atom: -1.39
Total magnetic moment in μB per formula unit: 2.93
Space-group type: P-6m2


[4]
An optimized crystal structure of Fe2Hg, computed with PBE.

Unit cell a=10.1461 b=2.8566 c=6.5466 alpha=90.00 beta=99.60 gamma=90.00
Sites, in units of the cell vectors:
1 Fe 0.0000 0.0000 0.0000
2 Fe 0.0812 0.0000 0.6704
3 Fe 0.2201 0.5000 0.4787
4 Fe 0.3672 0.0000 0.7351
5 Fe 0.5000 0.5000 0.0000
6 Fe 0.5812 0.5000 0.6704
7 Fe 0.7201 0.0000 0.4787
8 Fe 0.8672 0.5000 0.7351
9 Hg 0.2286 0.5000 0.0110
10 Hg 0.4408 0.0000 0.3406
11 Hg 0.7286 0.0000 0.0110
12 Hg 0.9408 0.5000 0.3406

Results
Crystal system: monoclinic
Formation energy from the elements in eV per atom: 0.437
Energy in eV per atom: -5.31
Total magnetic moment in μB per formula unit: 5.14
Space-group type: Cm


[5]
An optimized crystal structure of Fe2Hg3, computed with PBE.

Unit cell a=3.0141 b=3.0141 c=35.3812 alpha=90.00 beta=90.00 gamma=120.00
Sites, in units of the cell vectors:
1 Fe 0.0000 0.0000 0.1036
2 Fe 0.0000 0.0000 0.8964
3 Fe 0.3333 0.6667 0.5631
4 Fe 0.3333 0.6667 0.7702
5 Fe 0.6667 0.3333 0.2298
6 Fe 0.6667 0.3333 0.4369
7 Hg 0.0000 0.0000 0.2930
8 Hg 0.0000 0.0000 0.5000
9 Hg 0.0000 0.0000 0.7070
10 Hg 0.3333 0.6667 0.1667
11 Hg 0.3333 0.6667 0.3737
12 Hg 0.3333 0.6667 0.9597
13 Hg 0.6667 0.3333 0.0403
14 Hg 0.6667 0.3333 0.6263
15 Hg 0.6667 0.3333 0.8333

Results
Crystal system: trigonal
Formation energy from the elements in eV per atom: 0.487
Energy in eV per atom: -3.08
Total magnetic moment in μB per formula unit: 5.57
Space-group type: R-3m


[6]
An optimized crystal structure of Fe4Hg, computed with PBE.

Unit cell a=4.7713 b=4.7713 c=4.7713 alpha=90.00 beta=90.00 gamma=90.00
Sites, in units of the cell vectors:
1 Fe 0.0000 0.0000 0.0000
2 Fe 0.0000 0.5000 0.5000
3 Fe 0.5000 0.0000 0.5000
4 Fe 0.5000 0.5000 0.0000
5 Hg 0.5000 0.5000 0.5000

Results
Crystal system: cubic
Formation energy from the elements in eV per atom: 1.903
Energy in eV per atom: -4.93
Total magnetic moment in μB per formula unit: 12.16
Space-group type: Pm-3m


[7]
An optimized crystal structure of Fe2Hg3, computed with PBE.

Unit cell a=14.3943 b=4.4223 c=2.9791 alpha=90.00 beta=101.94 gamma=90.00
Sites, in units of the cell vectors:
1 Fe 0.2005 0.0000 0.4697
2 Fe 0.2995 0.5000 0.5303
3 Fe 0.7005 0.5000 0.4697
4 Fe 0.7995 0.0000 0.5303
5 Hg 0.0000 0.0000 0.0000
6 Hg 0.1322 0.5000 0.8797
7 Hg 0.3678 0.0000 0.1203
8 Hg 0.5000 0.5000 0.0000
9 Hg 0.6322 0.0000 0.8797
10 Hg 0.8678 0.5000 0.1203

Results
Crystal system: monoclinic
Formation energy from the elements in eV per atom: 0.401
Energy in eV per atom: -3.17
Total magnetic moment in μB per formula unit: 5.34
Space-group type: C2/m


[8]
An optimized crystal structure of Fe2Hg, computed with PBE.

Unit cell a=4.9385 b=4.9385 c=4.3648 alpha=90.00 beta=90.00 gamma=120.00
Sites, in units of the cell vectors:
1 Fe 0.0000 0.0000 0.0000
2 Fe 0.0000 0.7059 0.5000
3 Fe 0.2941 0.2941 0.5000
4 Fe 0.7059 0.0000 0.5000
5 Hg 0.3333 0.6667 0.0000
6 Hg 0.6667 0.3333 0.0000

Results
Crystal system: hexagonal
Formation energy from the elements in eV per atom: 0.481
Energy in eV per atom: -5.26
Total magnetic moment in μB per formula unit: 5.34
Space-group type: P-62m


Q: Number 6 is which compound?
A: Fe4Hg